The following is a DFT calculation (GGA-PBE) of a relaxed DyHo2Bi4 crystal.

Results
density	10.23	g/cm³
ΔE_f	-579	meV/atom

a b c (Å): 4.4862 11.2874 17.0388
angles (deg): 90.00 90.00 90.00
Last column: nearest neighbours and their distance in Å.
Space group Cmcm (No. 63)
Unique sites:
Dy1 0.0000 0.0561 0.2500  7 Bi 3.25-3.29
Ho1 0.0000 0.3392 0.0742  6 Bi 3.00-3.35
Bi1 0.0000 0.0000 0.0000  4 Ho 3.15, 4 Bi 3.49
Bi2 0.0000 0.3479 0.2500  2 Ho 3.00, 3 Dy 3.25-3.29
Bi3 0.0000 0.3520 0.6221  4 Ho 3.22-3.58, 2 Dy 3.29, 2 Bi 3.49